w.
PbBr2Cl: relaxed, GGA-PBE.

Cell: 5.3602 5.3602 5.3602 Å, 60.00 60.00 60.00°
Positions (direct):
Pb  0.0000  0.0000  0.0000
Br  0.2500  0.2500  0.2500
Br  0.7500  0.7500  0.7500
Cl  0.5000  0.5000  0.5000

x.
PbBr2Cl: relaxed, GGA-PBE.

Cell: 7.4700 7.4700 7.4700 Å, 147.96 137.66 54.06°
Positions (direct):
Pb  0.0000  0.0000  0.0000
Br  0.4375  0.4375  0.0000
Br  0.8216  0.3216  0.5000
Cl  0.1413  0.6413  0.5000

Most stable = x

w.
PbBr2Cl: relaxed, GGA-PBE.

Cell: 5.3605 5.3605 5.3605 Å, 60.00 60.00 60.00°
Positions (direct):
Pb  0.0000  0.0000  0.0000
Br  0.2500  0.2500  0.2500
Br  0.5000  0.5000  0.5000
Cl  0.7500  0.7500  0.7500

x.
PbBr2Cl: relaxed, GGA-PBE.

Cell: 6.2988 6.2988 6.2988 Å, 138.70 138.70 59.83°
Positions (direct):
Pb  0.0000  0.0000  0.0000
Br  0.2500  0.7500  0.5000
Br  0.7500  0.2500  0.5000
Cl  0.5000  0.5000  0.0000

Most stable = x

w.
PbBr2Cl: relaxed, GGA-PBE.

Cell: 5.7245 5.7245 4.6155 Å, 90.00 90.00 120.79°
Positions (direct):
Pb  0.0000  0.0000  0.0000
Br  0.2244  0.7756  0.5000
Br  0.7756  0.2244  0.5000
Cl  0.5000  0.5000  0.0000

x.
PbBr2Cl: relaxed, GGA-PBE.

Cell: 7.2702 7.2702 7.2702 Å, 98.71 98.71 134.20°
Positions (direct):
Pb  0.0000  0.0000  0.0000
Pb  0.7500  0.2500  0.5000
Br  0.0962  0.6250  0.9712
Br  0.3750  0.3462  0.4712
Br  0.6538  0.1250  0.0288
Br  0.8750  0.9038  0.5288
Cl  0.2500  0.7500  0.5000
Cl  0.5000  0.5000  0.0000

Most stable = w

w.
Pb2Br2Cl: relaxed, GGA-PBE.

Cell: 7.8486 7.8486 9.0350 Å, 111.06 111.06 48.83°
Positions (direct):
Pb  0.0150  0.0150  0.2688
Pb  0.3273  0.3273  0.9127
Pb  0.6727  0.6727  0.0873
Pb  0.9850  0.9850  0.7312
Br  0.1639  0.1639  0.0781
Br  0.4866  0.4866  0.7603
Br  0.5134  0.5134  0.2397
Br  0.8361  0.8361  0.9219
Cl  0.1428  0.1428  0.6087
Cl  0.8572  0.8572  0.3913

x.
Pb2Br2Cl: relaxed, GGA-PBE.

Cell: 7.9621 7.9621 4.7772 Å, 90.00 90.00 90.00°
Positions (direct):
Pb  0.1601  0.3399  0.0000
Pb  0.3399  0.8399  0.0000
Pb  0.6601  0.1601  0.0000
Pb  0.8399  0.6601  0.0000
Br  0.1631  0.6631  0.5000
Br  0.3369  0.1631  0.5000
Br  0.6631  0.8369  0.5000
Br  0.8369  0.3369  0.5000
Cl  0.0000  0.0000  0.0000
Cl  0.5000  0.5000  0.0000

Most stable = x

w.
Pb2Br3Cl: relaxed, GGA-PBE.

Cell: 9.4601 9.4601 13.4043 Å, 123.02 123.02 27.34°
Positions (direct):
Pb  0.1231  0.1231  0.3806
Pb  0.3749  0.3749  0.1374
Pb  0.6251  0.6251  0.8626
Pb  0.8769  0.8769  0.6194
Br  0.1775  0.1775  0.0472
Br  0.3079  0.3079  0.4287
Br  0.4395  0.4395  0.8073
Br  0.5605  0.5605  0.1927
Br  0.6921  0.6921  0.5713
Br  0.8225  0.8225  0.9528
Cl  0.0583  0.0583  0.6877
Cl  0.9417  0.9417  0.3123

x.
Pb2Br3Cl: relaxed, GGA-PBE.

Cell: 9.1538 9.1538 12.4035 Å, 118.31 118.31 28.78°
Positions (direct):
Pb  0.1193  0.1193  0.4368
Pb  0.3627  0.3627  0.1644
Pb  0.6373  0.6373  0.8356
Pb  0.8807  0.8807  0.5632
Br  0.1565  0.1565  0.0097
Br  0.2694  0.2694  0.3843
Br  0.4477  0.4477  0.7574
Br  0.5523  0.5523  0.2426
Br  0.7306  0.7306  0.6157
Br  0.8435  0.8435  0.9903
Cl  0.0784  0.0784  0.6558
Cl  0.9216  0.9216  0.3442

Most stable = x

w.
RbPbBr2Cl: relaxed, GGA-PBE.

Cell: 8.1930 8.1930 8.1930 Å, 119.46 119.46 90.93°
Positions (direct):
Rb  0.2500  0.7500  0.5000
Rb  0.7500  0.2500  0.5000
Pb  0.0000  0.0000  0.0000
Pb  0.5000  0.5000  0.0000
Br  0.1795  0.6795  0.8591
Br  0.3205  0.1795  0.5000
Br  0.6795  0.8205  0.5000
Br  0.8205  0.3205  0.1409
Cl  0.2500  0.2500  0.0000
Cl  0.7500  0.7500  0.0000

x.
RbPbBr2Cl: relaxed, GGA-PBE.

Cell: 5.9893 5.9893 5.6770 Å, 90.00 90.00 90.00°
Positions (direct):
Rb  0.0000  0.0000  0.0000
Pb  0.5000  0.5000  0.5000
Br  0.0000  0.5000  0.5000
Br  0.5000  0.0000  0.5000
Cl  0.5000  0.5000  0.0000

Most stable = w

w.
PbSBrCl2: relaxed, GGA-PBE.

Cell: 5.2602 5.2602 5.8881 Å, 90.00 90.00 90.00°
Positions (direct):
Pb  0.0000  0.0000  0.0000
S  0.5000  0.5000  0.0000
Br  0.5000  0.5000  0.5000
Cl  0.0000  0.5000  0.5000
Cl  0.5000  0.0000  0.5000

x.
PbSBrCl2: relaxed, GGA-PBE.

Cell: 5.3817 5.3817 5.7428 Å, 90.00 90.00 90.00°
Positions (direct):
Pb  0.0000  0.0000  0.0000
S  0.0000  0.0000  0.5000
Br  0.5000  0.5000  0.5000
Cl  0.0000  0.5000  0.0000
Cl  0.5000  0.0000  0.0000

Most stable = x

w.
TlPbBr2Cl: relaxed, GGA-PBE.

Cell: 5.9583 5.9583 5.6255 Å, 90.00 90.00 90.00°
Positions (direct):
Tl  0.0000  0.0000  0.0000
Pb  0.5000  0.5000  0.5000
Br  0.0000  0.5000  0.5000
Br  0.5000  0.0000  0.5000
Cl  0.5000  0.5000  0.0000

x.
TlPbBr2Cl: relaxed, GGA-PBE.

Cell: 7.6064 7.6064 10.7884 Å, 90.00 90.00 146.03°
Positions (direct):
Tl  0.2343  0.7657  0.7500
Tl  0.7657  0.2343  0.2500
Pb  0.5000  0.5000  0.0000
Pb  0.5000  0.5000  0.5000
Br  0.1395  0.8605  0.0555
Br  0.1395  0.8605  0.4445
Br  0.8605  0.1395  0.5555
Br  0.8605  0.1395  0.9445
Cl  0.4255  0.5745  0.2500
Cl  0.5745  0.4255  0.7500

Most stable = x